8
Lattice="6.193 0.000 0.000 0.000 3.614 0.000 -2.086 0.000 6.082" Properties=species:S:1:pos:R:3 comment="ZnAsP2 | the Alexandria database | GGA-PBE | optimized geometry" e_above_lowest_polymorph_mev_per_atom=108 space_group="No. 12" magnetic_moment_mub_per_cell=0.00 dft_energy_ev_per_atom=-4.034 pbc="T T T"
Zn 0.000 0.000 0.000
Zn 3.097 1.807 0.000
As -1.043 1.807 3.041
As 2.054 0.000 3.041
P -0.014 0.000 4.552
P 1.025 1.807 1.529
P 4.122 0.000 1.529
P 3.082 1.807 4.552

13
Lattice="7.181 -4.288 0.000 7.181 4.288 0.000 -7.047 0.000 7.411" Properties=species:S:1:pos:R:3 comment="Tm5Te8 | the Alexandria database | GGA-PBE | optimized geometry" space_group="No. 12" raw_formation_energy_kcal_per_mol_atoms=-29.34 magnetic_moment_mub_per_cell=0.00 dft_energy_ev_per_atom=-4.926 pbc="T T T"
Tm 0.000 0.000 0.000
Tm 3.657 2.042 3.706
Tm 3.772 0.000 0.069
Tm 3.542 0.000 7.343
Tm 3.657 -2.042 3.706
Te -1.876 0.000 2.399
Te -1.672 2.200 6.145
Te 1.828 0.000 4.923
Te 8.987 2.200 1.266
Te -1.672 -2.200 6.145
Te 5.487 0.000 2.488
Te 8.987 -2.200 1.266
Te 9.191 0.000 5.012

Number 1: DOS(E_F) 3.33 states/eV/cell. Number 2: DOS(E_F) 4.27 states/eV/cell.